1.
GaAuNO | PBE | relaxed

Lattice parameters (Å, degrees): 3.1333 6.0629 5.7498 90.00 90.00 90.00
Closest atoms and distances in Å follow each position.
Fractional coordinates of all 8 atoms:
Ga  0.0000  0.1070  0.0000  2 O 1.89, 2 N 1.94-1.95
Ga  0.0000  0.8930  0.5000  2 O 1.89, 2 N 1.94-1.95
Au  0.5000  0.3978  0.3848  2 N 2.11, 1 O 2.22
Au  0.5000  0.6022  0.8848  2 N 2.11, 1 O 2.22
N  0.0000  0.1703  0.3333  2 Ga 1.94-1.95, 2 Au 2.11
N  0.0000  0.8297  0.8333  2 Ga 1.94-1.95, 2 Au 2.11
O  0.5000  0.2363  0.8785  2 Ga 1.89
O  0.5000  0.7637  0.3785  2 Ga 1.89

Properties
Its space group is Pmc2_1. For the excess energy over the best structure of this formula in the dataset, the calculation gives 31 meV/atom. The calculation puts the total energy at -5.056 eV/atom.



2.
GaAuNO | PBE | relaxed

Lattice parameters (Å, degrees): 3.8616 3.8616 7.7864 90.00 90.00 90.00
Closest atoms and distances in Å follow each position.
Fractional coordinates of all 8 atoms:
Ga  0.2500  0.2500  0.0969  1 N 1.89, 4 O 2.07
Ga  0.7500  0.7500  0.9031  1 N 1.89, 4 O 2.07
Au  0.2500  0.7500  0.5000  4 N 2.30
Au  0.7500  0.2500  0.5000  4 N 2.30
N  0.2500  0.2500  0.3401  1 Ga 1.89
N  0.7500  0.7500  0.6599  1 Ga 1.89
O  0.2500  0.7500  0.0000  4 Ga 2.07
O  0.7500  0.2500  0.0000  4 Ga 2.07

Properties
Its space group is P4/nmm. For the excess energy over the best structure of this formula in the dataset, the calculation gives 242 meV/atom. The calculation puts the total energy at -4.846 eV/atom.



3.
GaAuNO | PBE | relaxed

Lattice parameters (Å, degrees): 4.2200 4.2200 5.9943 90.00 90.00 90.00
Closest atoms and distances in Å follow each position.
Fractional coordinates of all 8 atoms:
Ga  0.2500  0.2500  0.0936  1 N 1.98, 4 O 2.18
Ga  0.7500  0.7500  0.9064  1 N 1.98, 4 O 2.18
Au  0.2500  0.7500  0.5000  4 N 2.16
Au  0.7500  0.2500  0.5000  4 N 2.16
N  0.2500  0.2500  0.4243  1 Ga 1.98, 4 Au 2.16
N  0.7500  0.7500  0.5757  1 Ga 1.98, 4 Au 2.16
O  0.2500  0.7500  0.0000  4 Ga 2.18
O  0.7500  0.2500  0.0000  4 Ga 2.18

Properties
Its space group is P4/nmm. For the excess energy over the best structure of this formula in the dataset, the calculation gives 287 meV/atom. The calculation puts the total energy at -4.800 eV/atom.



4.
GaAuNO | PBE | relaxed

Lattice parameters (Å, degrees): 4.0747 4.0747 6.3686 90.00 90.00 90.00
Closest atoms and distances in Å follow each position.
Fractional coordinates of all 8 atoms:
Ga  0.2500  0.7500  0.0000  4 N 2.05
Ga  0.7500  0.2500  0.0000  4 N 2.05
Au  0.2500  0.2500  0.3785  4 O 2.18
Au  0.7500  0.7500  0.6215  4 O 2.18
N  0.2500  0.2500  0.9629  4 Ga 2.05
N  0.7500  0.7500  0.0371  4 Ga 2.05
O  0.2500  0.7500  0.5000  4 Au 2.18
O  0.7500  0.2500  0.5000  4 Au 2.18

Properties
Its space group is P4/nmm. For the excess energy over the best structure of this formula in the dataset, the calculation gives 611 meV/atom. The calculation puts the total energy at -4.477 eV/atom.



5.
Ta4GaAuN2 | PBE | relaxed

Lattice parameters (Å, degrees): 3.1733 3.1733 13.3083 90.00 90.00 120.00
Closest atoms and distances in Å follow each position.
Fractional coordinates of all 8 atoms:
Ta  0.0000  0.0000  0.1599  3 N 2.18
Ta  0.0000  0.0000  0.8401  3 N 2.18
Ta  0.3333  0.6667  0.3325  3 N 2.15
Ta  0.3333  0.6667  0.6675  3 N 2.15
Ga  0.3333  0.6667  0.0000  6 Ta 2.81
Au  0.0000  0.0000  0.5000  6 Ta 2.89, 6 Au 3.17
N  0.6667  0.3333  0.2485  6 Ta 2.15-2.18
N  0.6667  0.3333  0.7515  6 Ta 2.15-2.18

Properties
Its space group is P-6m2. As for the total moment: 0.00 μB/atom. The calculation puts the total energy at -9.353 eV/atom.



6.
Y4GaAuN2 | PBE | relaxed

Lattice parameters (Å, degrees): 3.5233 3.5233 14.7481 90.00 90.00 120.00
Closest atoms and distances in Å follow each position.
Fractional coordinates of all 8 atoms:
Y  0.0000  0.0000  0.1534  3 N 2.48
Y  0.0000  0.0000  0.8466  3 N 2.48
Y  0.6667  0.3333  0.3388  3 N 2.42
Y  0.6667  0.3333  0.6612  3 N 2.42
Ga  0.0000  0.0000  0.5000  6 Y 3.13
Au  0.6667  0.3333  0.0000  6 Y 3.04
N  0.3333  0.6667  0.2501  6 Y 2.42-2.48
N  0.3333  0.6667  0.7499  6 Y 2.42-2.48

Properties
Its space group is P-6m2. As for the total moment: 0.00 μB/atom. The calculation puts the total energy at -7.169 eV/atom.



7.
Na3Ga4Au4 | PBE | relaxed

Lattice parameters (Å, degrees): 8.2625 8.2625 8.2625 149.36 127.22 62.27
Closest atoms and distances in Å follow each position.
Fractional coordinates of all 11 atoms:
Na  0.0000  0.0000  0.0000  6 Au 3.07-3.08
Na  0.3829  0.8829  0.5000  6 Au 3.12-3.20, 6 Ga 3.23-3.27, 1 Na 3.31
Na  0.6171  0.1171  0.5000  6 Au 3.12-3.20, 6 Ga 3.23-3.27, 1 Na 3.31
Ga  0.0209  0.3247  0.6961  4 Au 2.59-2.70, 1 Ga 2.88
Ga  0.3714  0.6753  0.6961  4 Au 2.59-2.70, 1 Ga 2.88
Ga  0.6286  0.3247  0.3039  4 Au 2.59-2.70, 1 Ga 2.88
Ga  0.9791  0.6753  0.3039  4 Au 2.59-2.70, 1 Ga 2.88
Au  0.2170  0.2170  0.0000  6 Ga 2.68-2.70
Au  0.2963  0.5000  0.7963  2 Ga 2.59
Au  0.7037  0.5000  0.2037  2 Ga 2.59
Au  0.7830  0.7830  0.0000  6 Ga 2.68-2.70

Properties
Its space group is Immm. The calculation puts the total energy at -2.997 eV/atom.



8.
Na2GaAu2 | PBE | relaxed

Lattice parameters (Å, degrees): 6.9256 6.9256 4.6224 90.00 90.00 90.00
Closest atoms and distances in Å follow each position.
Fractional coordinates of all 10 atoms:
Na  0.1630  0.3370  0.0000  6 Au 2.98-3.15, 1 Na 3.19
Na  0.3370  0.8370  0.0000  6 Au 2.98-3.15, 1 Na 3.19
Na  0.6630  0.1630  0.0000  6 Au 2.98-3.15, 1 Na 3.19
Na  0.8370  0.6630  0.0000  6 Au 2.98-3.15, 1 Na 3.19
Ga  0.0000  0.0000  0.5000  4 Au 2.65
Ga  0.5000  0.5000  0.5000  4 Au 2.65
Au  0.1453  0.6453  0.5000  2 Ga 2.65, 1 Au 2.85
Au  0.3547  0.1453  0.5000  2 Ga 2.65, 1 Au 2.85
Au  0.6453  0.8547  0.5000  2 Ga 2.65, 1 Au 2.85
Au  0.8547  0.3547  0.5000  2 Ga 2.65, 1 Au 2.85

Properties
Its space group is P4/mbm. The calculation puts the total energy at -2.730 eV/atom.



9.
NaGa4Au2 | PBE | relaxed

Lattice parameters (Å, degrees): 16.8693 4.3962 7.4496 90.00 90.00 90.00
Closest atoms and distances in Å follow each position.
Fractional coordinates of all 28 atoms:
Na  0.1241  0.2500  0.2440  5 Au 3.22-3.32, 10 Ga 3.23-3.51
Na  0.3759  0.7500  0.7440  5 Au 3.22-3.32, 10 Ga 3.23-3.51
Na  0.6241  0.2500  0.2560  5 Au 3.22-3.32, 10 Ga 3.23-3.51
Na  0.8759  0.7500  0.7560  5 Au 3.22-3.32, 10 Ga 3.23-3.51
Ga  0.0484  0.7500  0.9428  1 Ga 2.53, 3 Au 2.65-2.70
Ga  0.0641  0.7500  0.5552  4 Au 2.65-2.69, 1 Ga 2.90
Ga  0.1841  0.2500  0.6952  4 Au 2.71-2.79, 3 Ga 2.81
Ga  0.1984  0.7500  0.9270  4 Ga 2.53-2.81, 2 Au 2.65
Ga  0.3016  0.2500  0.4270  4 Ga 2.53-2.81, 2 Au 2.65
Ga  0.3159  0.7500  0.1952  4 Au 2.71-2.79, 3 Ga 2.81
Ga  0.4359  0.2500  0.0552  4 Au 2.65-2.69, 1 Ga 2.90
Ga  0.4516  0.2500  0.4428  1 Ga 2.53, 3 Au 2.65-2.70
Ga  0.5484  0.7500  0.5572  1 Ga 2.53, 3 Au 2.65-2.70
Ga  0.5641  0.7500  0.9448  4 Au 2.65-2.69, 1 Ga 2.90
Ga  0.6841  0.2500  0.8048  4 Au 2.71-2.79, 3 Ga 2.81
Ga  0.6984  0.7500  0.5730  4 Ga 2.53-2.81, 2 Au 2.65
Ga  0.8016  0.2500  0.0730  4 Ga 2.53-2.81, 2 Au 2.65
Ga  0.8159  0.7500  0.3048  4 Au 2.71-2.79, 3 Ga 2.81
Ga  0.9359  0.2500  0.4448  4 Au 2.65-2.69, 1 Ga 2.90
Ga  0.9516  0.2500  0.0572  1 Ga 2.53, 3 Au 2.65-2.70
Au  0.0232  0.2500  0.7411  7 Ga 2.65-2.74
Au  0.2192  0.7500  0.4982  6 Ga 2.65-2.79
Au  0.2808  0.2500  0.9982  6 Ga 2.65-2.79
Au  0.4768  0.7500  0.2411  7 Ga 2.65-2.74
Au  0.5232  0.2500  0.7589  7 Ga 2.65-2.74
Au  0.7192  0.7500  0.0018  6 Ga 2.65-2.79
Au  0.7808  0.2500  0.5018  6 Ga 2.65-2.79
Au  0.9768  0.7500  0.2589  7 Ga 2.65-2.74

Properties
Its space group is Pnma. The calculation puts the total energy at -3.125 eV/atom.



10.
NaGa2Au2 | PBE | relaxed

Lattice parameters (Å, degrees): 4.6154 4.6154 9.9810 90.00 90.00 90.00
Closest atoms and distances in Å follow each position.
Fractional coordinates of all 10 atoms:
Na  0.0000  0.0000  0.0000  8 Au 3.40, 10 Ga 3.50-3.71
Na  0.5000  0.5000  0.5000  8 Au 3.40, 10 Ga 3.50-3.71
Ga  0.0000  0.0000  0.3720  1 Ga 2.56, 4 Au 2.61
Ga  0.0000  0.0000  0.6280  1 Ga 2.56, 4 Au 2.61
Ga  0.5000  0.5000  0.1280  1 Ga 2.56, 4 Au 2.61
Ga  0.5000  0.5000  0.8720  1 Ga 2.56, 4 Au 2.61
Au  0.0000  0.5000  0.2500  4 Ga 2.61
Au  0.0000  0.5000  0.7500  4 Ga 2.61
Au  0.5000  0.0000  0.2500  4 Ga 2.61
Au  0.5000  0.0000  0.7500  4 Ga 2.61

Properties
Its space group is I4/mmm. For the excess energy over the best structure of this formula in the dataset, the calculation gives 0 meV/atom. The calculation puts the total energy at -3.072 eV/atom.



11.
NaGa2Au2 | PBE | relaxed

Lattice parameters (Å, degrees): 4.3499 4.3499 11.3840 90.00 90.00 90.00
Closest atoms and distances in Å follow each position.
Fractional coordinates of all 10 atoms:
Na  0.0000  0.0000  0.0000  8 Au 3.37, 8 Ga 3.58
Na  0.5000  0.5000  0.5000  8 Au 3.37, 8 Ga 3.58
Ga  0.0000  0.5000  0.2500  4 Au 2.63
Ga  0.0000  0.5000  0.7500  4 Au 2.63
Ga  0.5000  0.0000  0.2500  4 Au 2.63
Ga  0.5000  0.0000  0.7500  4 Au 2.63
Au  0.0000  0.0000  0.3799  4 Ga 2.63, 1 Au 2.73
Au  0.0000  0.0000  0.6201  4 Ga 2.63, 1 Au 2.73
Au  0.5000  0.5000  0.1201  4 Ga 2.63, 1 Au 2.73
Au  0.5000  0.5000  0.8799  4 Ga 2.63, 1 Au 2.73

Properties
Its space group is I4/mmm. For the excess energy over the best structure of this formula in the dataset, the calculation gives 3 meV/atom. The calculation puts the total energy at -3.069 eV/atom.



12.
Na2Ga4PdAu | PBE | relaxed

Lattice parameters (Å, degrees): 7.0752 4.3532 9.9851 90.00 90.00 90.00
Closest atoms and distances in Å follow each position.
Fractional coordinates of all 16 atoms:
Na  0.0000  0.0000  0.0000  3 Pd 2.84-3.06, 4 Ga 3.09
Na  0.0000  0.5000  0.5000  3 Pd 2.84-3.06, 4 Ga 3.09
Na  0.5000  0.0000  0.1477  3 Au 2.86-3.05, 4 Ga 3.15
Na  0.5000  0.5000  0.6477  3 Au 2.86-3.05, 4 Ga 3.15
Ga  0.1897  0.0000  0.7093  2 Pd 2.66, 1 Au 2.67, 2 Ga 2.68-2.83
Ga  0.1897  0.5000  0.2093  2 Pd 2.66, 1 Au 2.67, 2 Ga 2.68-2.83
Ga  0.2963  0.0000  0.4359  1 Pd 2.59, 2 Au 2.71, 2 Ga 2.83-2.88
Ga  0.2963  0.5000  0.9359  1 Pd 2.59, 2 Au 2.71, 2 Ga 2.83-2.88
Ga  0.7037  0.0000  0.4359  1 Pd 2.59, 2 Au 2.71, 2 Ga 2.83-2.88
Ga  0.7037  0.5000  0.9359  1 Pd 2.59, 2 Au 2.71, 2 Ga 2.83-2.88
Ga  0.8103  0.0000  0.7093  2 Pd 2.66, 1 Au 2.67, 2 Ga 2.68-2.83
Ga  0.8103  0.5000  0.2093  2 Pd 2.66, 1 Au 2.67, 2 Ga 2.68-2.83
Pd  0.0000  0.0000  0.2841  6 Ga 2.59-2.66, 1 Na 2.84
Pd  0.0000  0.5000  0.7841  6 Ga 2.59-2.66, 1 Na 2.84
Au  0.5000  0.0000  0.8615  6 Ga 2.67-2.71, 1 Na 2.86
Au  0.5000  0.5000  0.3615  6 Ga 2.67-2.71, 1 Na 2.86

Properties
Its space group is Amm2. The calculation puts the total energy at -3.228 eV/atom.



Please write out number 3 again, unchanged.
GaAuNO | PBE | relaxed

Lattice parameters (Å, degrees): 4.2200 4.2200 5.9943 90.00 90.00 90.00
Closest atoms and distances in Å follow each position.
Fractional coordinates of all 8 atoms:
Ga  0.2500  0.2500  0.0936  1 N 1.98, 4 O 2.18
Ga  0.7500  0.7500  0.9064  1 N 1.98, 4 O 2.18
Au  0.2500  0.7500  0.5000  4 N 2.16
Au  0.7500  0.2500  0.5000  4 N 2.16
N  0.2500  0.2500  0.4243  1 Ga 1.98, 4 Au 2.16
N  0.7500  0.7500  0.5757  1 Ga 1.98, 4 Au 2.16
O  0.2500  0.7500  0.0000  4 Ga 2.18
O  0.7500  0.2500  0.0000  4 Ga 2.18

Properties
Its space group is P4/nmm. For the excess energy over the best structure of this formula in the dataset, the calculation gives 287 meV/atom. The calculation puts the total energy at -4.800 eV/atom.



Please write out number 9 again, unchanged.
NaGa4Au2 | PBE | relaxed

Lattice parameters (Å, degrees): 16.8693 4.3962 7.4496 90.00 90.00 90.00
Closest atoms and distances in Å follow each position.
Fractional coordinates of all 28 atoms:
Na  0.1241  0.2500  0.2440  5 Au 3.22-3.32, 10 Ga 3.23-3.51
Na  0.3759  0.7500  0.7440  5 Au 3.22-3.32, 10 Ga 3.23-3.51
Na  0.6241  0.2500  0.2560  5 Au 3.22-3.32, 10 Ga 3.23-3.51
Na  0.8759  0.7500  0.7560  5 Au 3.22-3.32, 10 Ga 3.23-3.51
Ga  0.0484  0.7500  0.9428  1 Ga 2.53, 3 Au 2.65-2.70
Ga  0.0641  0.7500  0.5552  4 Au 2.65-2.69, 1 Ga 2.90
Ga  0.1841  0.2500  0.6952  4 Au 2.71-2.79, 3 Ga 2.81
Ga  0.1984  0.7500  0.9270  4 Ga 2.53-2.81, 2 Au 2.65
Ga  0.3016  0.2500  0.4270  4 Ga 2.53-2.81, 2 Au 2.65
Ga  0.3159  0.7500  0.1952  4 Au 2.71-2.79, 3 Ga 2.81
Ga  0.4359  0.2500  0.0552  4 Au 2.65-2.69, 1 Ga 2.90
Ga  0.4516  0.2500  0.4428  1 Ga 2.53, 3 Au 2.65-2.70
Ga  0.5484  0.7500  0.5572  1 Ga 2.53, 3 Au 2.65-2.70
Ga  0.5641  0.7500  0.9448  4 Au 2.65-2.69, 1 Ga 2.90
Ga  0.6841  0.2500  0.8048  4 Au 2.71-2.79, 3 Ga 2.81
Ga  0.6984  0.7500  0.5730  4 Ga 2.53-2.81, 2 Au 2.65
Ga  0.8016  0.2500  0.0730  4 Ga 2.53-2.81, 2 Au 2.65
Ga  0.8159  0.7500  0.3048  4 Au 2.71-2.79, 3 Ga 2.81
Ga  0.9359  0.2500  0.4448  4 Au 2.65-2.69, 1 Ga 2.90
Ga  0.9516  0.2500  0.0572  1 Ga 2.53, 3 Au 2.65-2.70
Au  0.0232  0.2500  0.7411  7 Ga 2.65-2.74
Au  0.2192  0.7500  0.4982  6 Ga 2.65-2.79
Au  0.2808  0.2500  0.9982  6 Ga 2.65-2.79
Au  0.4768  0.7500  0.2411  7 Ga 2.65-2.74
Au  0.5232  0.2500  0.7589  7 Ga 2.65-2.74
Au  0.7192  0.7500  0.0018  6 Ga 2.65-2.79
Au  0.7808  0.2500  0.5018  6 Ga 2.65-2.79
Au  0.9768  0.7500  0.2589  7 Ga 2.65-2.74

Properties
Its space group is Pnma. The calculation puts the total energy at -3.125 eV/atom.